Compound: Ba3Sn2PdO9
Source: Alexandria via LeMat-Bulk
Functional: GGA-PBE
Structure: optimized geometry

Structure (POSCAR):
```
Ba3Sn2PdO9
1.0
5.8813 0.0000 0.0000
-2.9407 5.0934 0.0000
0.0000 0.0000 7.1969
Ba Sn Pd O
3 2 1 9
direct
0.0000 0.0000 0.0000 Ba
0.3333 0.6667 0.6590 Ba
0.6667 0.3333 0.3410 Ba
0.3333 0.6667 0.1664 Sn
0.6667 0.3333 0.8336 Sn
0.0000 0.0000 0.5000 Pd
0.0000 0.5000 0.0000 O
0.1654 0.3307 0.3332 O
0.1654 0.8346 0.3332 O
0.3307 0.1654 0.6668 O
0.5000 0.0000 0.0000 O
0.5000 0.5000 0.0000 O
0.6693 0.8346 0.3332 O
0.8346 0.1654 0.6668 O
0.8346 0.6693 0.6668 O
```

Raw formation energy ... -1.854 eV/atom
Magnetic moment ... 0.0 μB per cell